(1)
Compound: AgSeCl2
Source: Alexandria
Functional: PBE
Structure: relaxed

- DOS at the Fermi energy (states/eV per atom) = 0.42
- spin magnetization (μB per formula unit) = 0.000
- V (Å³ per cell) = 123.74
- energy above the lowest structure with this stoichiometry (meV/atom) = 0

Cell lengths 4.931, 4.874, 5.363 Å; angles 90.00, 106.22, 90.00 degrees
Sites, in units of the cell vectors:
Ag (0.000, 0.000, 0.000)
Se (0.890, 0.500, 0.818)
Cl (0.153, 0.500, 0.553)
Cl (0.518, 0.000, 0.075)

(2)
Compound: Ag2SeCl
Source: Alexandria
Functional: PBE
Structure: relaxed

- DOS at the Fermi energy (states/eV per atom) = 0.98
- spin magnetization (μB per formula unit) = 0.000
- V (Å³ per cell) = 298.27
- energy above the lowest structure with this stoichiometry (meV/atom) = 163

Cell lengths 4.051, 4.051, 20.991 Å; angles 90.00, 90.00, 120.00 degrees
Sites, in units of the cell vectors:
Ag (0.000, 0.000, 0.000)
Ag (0.000, 0.000, 0.252)
Ag (0.333, 0.667, 0.667)
Ag (0.333, 0.667, 0.918)
Ag (0.667, 0.333, 0.333)
Ag (0.667, 0.333, 0.585)
Se (0.000, 0.000, 0.715)
Se (0.333, 0.667, 0.381)
Se (0.667, 0.333, 0.048)
Cl (0.000, 0.000, 0.529)
Cl (0.333, 0.667, 0.196)
Cl (0.667, 0.333, 0.863)

(3)
Compound: Ag4SeCl2
Source: Alexandria
Functional: PBE
Structure: relaxed

- spin magnetization (μB per formula unit) = 0.000
- V (Å³ per cell) = 364.72
- energy above the lowest structure with this stoichiometry (meV/atom) = 54

Cell lengths 5.170, 5.170, 13.643 Å; angles 90.00, 90.00, 90.00 degrees
Sites, in units of the cell vectors:
Ag (0.000, 0.000, 0.185)
Ag (0.000, 0.000, 0.815)
Ag (0.000, 0.500, 0.000)
Ag (0.000, 0.500, 0.500)
Ag (0.500, 0.000, 0.000)
Ag (0.500, 0.000, 0.500)
Ag (0.500, 0.500, 0.315)
Ag (0.500, 0.500, 0.685)
Se (0.000, 0.000, 0.000)
Se (0.500, 0.500, 0.500)
Cl (0.000, 0.000, 0.360)
Cl (0.000, 0.000, 0.640)
Cl (0.500, 0.500, 0.140)
Cl (0.500, 0.500, 0.860)

(4)
Compound: Ag2SeCl
Source: Alexandria
Functional: PBE
Structure: relaxed

- DOS at the Fermi energy (states/eV per atom) = 0.24
- spin magnetization (μB per formula unit) = 0.000
- V (Å³ per cell) = 85.65
- energy above the lowest structure with this stoichiometry (meV/atom) = 48

Cell lengths 3.861, 3.861, 5.745 Å; angles 90.00, 90.00, 90.00 degrees
Sites, in units of the cell vectors:
Ag (0.000, 0.000, 0.000)
Ag (0.500, 0.500, 0.500)
Se (0.000, 0.000, 0.500)
Cl (0.500, 0.500, 0.000)

(5)
Compound: AgSeCl3
Source: Alexandria
Functional: PBE
Structure: relaxed

- DOS at the Fermi energy (states/eV per atom) = 0.26
- spin magnetization (μB per formula unit) = 0.000
- V (Å³ per cell) = 133.26
- energy above the lowest structure with this stoichiometry (meV/atom) = 303

Cell lengths 5.108, 5.108, 5.108 Å; angles 90.00, 90.00, 90.00 degrees
Sites, in units of the cell vectors:
Ag (0.000, 0.000, 0.000)
Se (0.500, 0.500, 0.500)
Cl (0.000, 0.500, 0.500)
Cl (0.500, 0.000, 0.500)
Cl (0.500, 0.500, 0.000)

(6)
Compound: AgSeCl
Source: Alexandria
Functional: PBE
Structure: relaxed

- DOS at the Fermi energy (states/eV per atom) = 0.43
- spin magnetization (μB per formula unit) = 0.000
- V (Å³ per cell) = 161.68
- energy above the lowest structure with this stoichiometry (meV/atom) = 241

Cell lengths 3.831, 3.831, 11.018 Å; angles 90.00, 90.00, 90.00 degrees
Sites, in units of the cell vectors:
Ag (0.000, 0.000, 0.000)
Ag (0.500, 0.500, 0.500)
Se (0.000, 0.000, 0.542)
Se (0.500, 0.500, 0.042)
Cl (0.000, 0.000, 0.754)
Cl (0.500, 0.500, 0.254)